VASP calculation (GGA-PBE) on crystalline BeIr at its relaxed geometry.

Lattice parameters (Å, degrees): 2.754 2.754 3.521 90.00 90.00 120.00
Sites, in units of the cell vectors:
Be (0.000, 0.000, 0.000)
Ir (0.667, 0.333, 0.500)

Output
For the total DFT energy (no corrections), the calculation gives -6.754 eV/atom. The calculation puts the total magnetic moment at 0.001 μB per formula unit. For the volume, the calculation gives 11.6 Å³/atom.

***

VASP calculation (GGA-PBE) on crystalline Er2Si at its relaxed geometry.

Lattice parameters (Å, degrees): 8.718 8.718 8.718 60.00 60.00 60.00
Sites, in units of the cell vectors:
Er (0.000, 0.000, 0.000)
Er (0.000, 0.000, 0.500)
Er (0.000, 0.500, 0.000)
Er (0.500, 0.000, 0.000)
Si (0.125, 0.125, 0.125)
Si (0.875, 0.875, 0.875)

Output
For the total DFT energy (no corrections), the calculation gives -3.690 eV/atom. The calculation puts the total magnetic moment at 0.001 μB per formula unit. For the volume, the calculation gives 78.1 Å³/atom.

***

VASP calculation (GGA-PBE) on crystalline CsTcGe at its relaxed geometry.

Lattice parameters (Å, degrees): 4.678 4.678 4.678 60.00 60.00 60.00
Sites, in units of the cell vectors:
Cs (0.000, 0.000, 0.000)
Tc (0.250, 0.250, 0.250)
Ge (0.500, 0.500, 0.500)

Output
For the total DFT energy (no corrections), the calculation gives -4.006 eV/atom. The calculation puts the total magnetic moment at 0.012 μB per formula unit. For the volume, the calculation gives 24.1 Å³/atom.

***

VASP calculation (GGA-PBE) on crystalline KGdSO at its relaxed geometry.

Lattice parameters (Å, degrees): 4.070 4.070 9.833 90.00 90.00 90.00
Sites, in units of the cell vectors:
K (0.250, 0.750, 0.000)
K (0.750, 0.250, 0.000)
Gd (0.250, 0.250, 0.393)
Gd (0.750, 0.750, 0.607)
S (0.250, 0.250, 0.777)
S (0.750, 0.750, 0.223)
O (0.250, 0.750, 0.500)
O (0.750, 0.250, 0.500)

Output
For the total DFT energy (no corrections), the calculation gives -5.771 eV/atom. The calculation puts the total magnetic moment at 0.004 μB per formula unit. For the volume, the calculation gives 20.4 Å³/atom.